Below is crystalline CaHgPb3 at its relaxed geometry, with properties calculated at the GGA-PBE level.

Properties
M_tot: 0.00 μB/f.u.
E_form: 191 meV per atom
E: -2.4942 eV/atom
ΔE to the lowest computed polymorph: 1.88 eV/f.u.
DOS(E_F): 4.92 states/eV/cell

Cell: 5.7446 5.7446 5.7446 Å, 90.00 90.00 90.00°
Positions (direct):
1 Pb 0.0000 0.5000 0.0000
2 Pb 0.0000 0.0000 0.5000
3 Pb 0.5000 0.0000 0.0000
4 Ca 0.5000 0.5000 0.5000
5 Hg 0.0000 0.0000 0.0000

---

Below is crystalline CaHg2Pb at its relaxed geometry, with properties calculated at the GGA-PBE level.

Properties
M_tot: 0.00 μB/f.u.
E_form: -276 meV per atom
E: -1.8540 eV/atom
DOS(E_F): 1.07 states/eV/cell

Cell: 5.3437 5.3437 5.3437 Å, 60.00 60.00 60.00°
Positions (direct):
1 Pb 0.7500 0.7500 0.7500
2 Ca 0.5000 0.5000 0.5000
3 Hg 0.0000 0.0000 0.0000
4 Hg 0.2500 0.2500 0.2500

---

Below is crystalline Ca3Hg4Pb at its relaxed geometry, with properties calculated at the GGA-PBE level.

Properties
M_tot: 0.00 μB/f.u.
E_form: -466 meV per atom
E: -1.8306 eV/atom
DOS(E_F): 4.38 states/eV/cell

Cell: 5.3214 5.3214 9.3683 Å, 73.50 73.50 60.00°
Positions (direct):
1 Pb 0.0000 0.0000 0.0000
2 Ca 0.2560 0.2560 0.2320
3 Ca 0.7440 0.7440 0.7680
4 Ca 0.5000 0.5000 0.5000
5 Hg 0.8673 0.8673 0.3980
6 Hg 0.3818 0.3818 0.8547
7 Hg 0.1327 0.1327 0.6020
8 Hg 0.6182 0.6182 0.1453

---

Below is crystalline Ca4HgPb at its relaxed geometry, with properties calculated at the GGA-PBE level.

Properties
M_tot: 0.00 μB/f.u.
E_form: 130 meV per atom
E: -1.8732 eV/atom
ΔE to the lowest computed polymorph: 3.23 eV/f.u.
DOS(E_F): 5.64 states/eV/cell

Cell: 6.7321 6.7321 6.7321 Å, 60.00 60.00 60.00°
Positions (direct):
1 Ca 0.8771 0.3743 0.3743
2 Ca 0.3743 0.3743 0.8771
3 Ca 0.3743 0.8771 0.3743
4 Ca 0.3743 0.3743 0.3743
5 Hg 0.7500 0.7500 0.7500
6 Pb 0.0000 0.0000 0.0000

---

Below is crystalline CaHg2Pb3 at its relaxed geometry, with properties calculated at the GGA-PBE level.

Properties
M_tot: 0.00 μB/f.u.
E_form: -185 meV per atom
E: -2.4731 eV/atom
ΔE to the lowest computed polymorph: 0.05 eV/f.u.
DOS(E_F): 5.57 states/eV/cell

Cell: 6.1012 6.1012 10.6968 Å, 100.80 100.80 112.90°
Positions (direct):
1 Ca 0.1257 0.8743 0.2500
2 Ca 0.8743 0.1257 0.7500
3 Hg 0.0382 0.2873 0.0820
4 Hg 0.7127 0.9618 0.4180
5 Hg 0.9618 0.7127 0.9180
6 Hg 0.2873 0.0382 0.5820
7 Pb 0.7913 0.5400 0.5866
8 Pb 0.4600 0.2087 0.9134
9 Pb 0.2087 0.4600 0.4134
10 Pb 0.5400 0.7913 0.0866
11 Pb 0.6234 0.3766 0.2500
12 Pb 0.3766 0.6234 0.7500

---

Below is crystalline Ca3HgPb at its relaxed geometry, with properties calculated at the GGA-PBE level.

Properties
M_tot: 0.00 μB/f.u.
E_form: -103 meV per atom
E: -2.1057 eV/atom
ΔE to the lowest computed polymorph: 1.91 eV/f.u.
DOS(E_F): 4.09 states/eV/cell

Cell: 6.0137 6.0137 6.0137 Å, 90.00 90.00 90.00°
Positions (direct):
1 Pb 0.0000 0.0000 0.0000
2 Ca 0.0000 0.5000 0.0000
3 Ca 0.0000 0.0000 0.5000
4 Ca 0.5000 0.0000 0.0000
5 Hg 0.5000 0.5000 0.5000

---

Below is crystalline CaHg6Pb at its relaxed geometry, with properties calculated at the GGA-PBE level.

Properties
M_tot: 0.00 μB/f.u.
E_form: -174 meV per atom
E: -1.1141 eV/atom
DOS(E_F): 3.22 states/eV/cell

Cell: 5.1541 6.6809 6.6809 Å, 114.01 90.00 90.00°
Positions (direct):
1 Ca 0.0000 0.1097 0.8903
2 Hg 0.0000 0.0647 0.3762
3 Hg 0.0000 0.6238 0.9353
4 Hg 0.0000 0.5828 0.4172
5 Hg 0.5000 0.4293 0.1228
6 Hg 0.5000 0.8772 0.5707
7 Hg 0.5000 0.9301 0.0699
8 Pb 0.5000 0.3821 0.6179

---

Below is crystalline CaHg5Pb2 at its relaxed geometry, with properties calculated at the GGA-PBE level.

Properties
M_tot: 0.00 μB/f.u.
E_form: -132 meV per atom
E: -1.4977 eV/atom
ΔE to the lowest computed polymorph: 0.50 eV/f.u.
DOS(E_F): 8.99 states/eV/cell

Cell: 8.3810 8.3810 8.6832 Å, 118.86 118.86 90.00°
Positions (direct):
1 Ca 0.7500 0.7500 0.5000
2 Ca 0.2500 0.2500 0.5000
3 Hg 0.4766 0.6781 0.6547
4 Hg 0.8219 0.0234 0.3453
5 Hg 0.0000 0.0000 0.0000
6 Hg 0.5000 0.5000 0.0000
7 Hg 0.1781 0.9766 0.6547
8 Hg 0.6781 0.1781 0.6547
9 Hg 0.9766 0.4766 0.6547
10 Hg 0.3219 0.8219 0.3453
11 Hg 0.0234 0.5234 0.3453
12 Hg 0.5234 0.3219 0.3453
13 Pb 0.1475 0.3525 0.0000
14 Pb 0.6475 0.1475 0.0000
15 Pb 0.3525 0.8525 0.0000
16 Pb 0.8525 0.6475 0.0000